This record from Alexandria via LeMat-Bulk describes an optimized crystal structure of VRhSe2. The functional is PBE.

## Properties
E_form (uncorrected): -312.1 meV/atom
total moment: 0.00 μB per formula unit
offset from the most stable computed form: 0.000 eV/atom

a b c (Å): 3.4400 3.4400 19.7167
angles (deg): 90.00 90.00 120.00
With the nearest neighbours (Å) after each atom.
Space group R3m (No. 160, hexagonal axes)
Asymmetric unit:
V 0.0000 0.0000 0.0000 x3  6 Se 2.47-2.57
Rh 0.0000 0.0000 0.1489 x3  3 Se 2.47
Se 0.0000 0.0000 0.5841 x3  3 V 2.57, 3 Rh 2.83
Se 0.0000 0.0000 0.7411 x3  3 V 2.47, 3 Rh 2.47